Compound: NdDyZn
Source: Alexandria
Functional: PBE-GGA
Structure: optimized geometry

a = 5.016 Å, b = 5.016 Å, c = 3.777 Å
α = 90.00°, β = 90.00°, γ = 120.00°
Positions (direct):
Nd (0.000, 0.000, 0.000)
Dy (0.333, 0.667, 0.545)
Zn (0.667, 0.333, 0.340)

Properties
As for the energy above the most stable polymorph in this dataset: 0.157 eV/atom. Its space-group type is P3m1.

---

Compound: RbLiBe2F8
Source: Alexandria
Functional: PBE-GGA
Structure: optimized geometry

a = 5.281 Å, b = 5.281 Å, c = 7.562 Å
α = 90.00°, β = 90.00°, γ = 120.00°
Positions (direct):
Rb (0.000, 0.000, 0.000)
Li (0.000, 0.000, 0.500)
Be (0.333, 0.667, 0.724)
Be (0.667, 0.333, 0.276)
F (0.167, 0.347, 0.658)
F (0.180, 0.833, 0.658)
F (0.333, 0.667, 0.930)
F (0.347, 0.180, 0.342)
F (0.653, 0.820, 0.658)
F (0.667, 0.333, 0.070)
F (0.820, 0.167, 0.342)
F (0.833, 0.653, 0.342)

Properties
Its space-group type is P-3. As for the energy relative to the elements, uncorrected: -30.41 eV per formula unit.

---

Compound: Y4SbS3
Source: Alexandria
Functional: PBE-GGA
Structure: optimized geometry

a = 7.020 Å, b = 7.020 Å, c = 4.033 Å
α = 90.00°, β = 90.00°, γ = 109.20°
Positions (direct):
Y (0.227, 0.227, 0.500)
Y (0.239, 0.761, 0.000)
Y (0.761, 0.239, 0.000)
Y (0.773, 0.773, 0.500)
Sb (0.500, 0.500, 0.000)
S (0.000, 0.000, 0.000)
S (0.000, 0.500, 0.500)
S (0.500, 0.000, 0.500)

Properties
Its space-group type is Cmmm. As for the energy relative to the elements, uncorrected: -13.95 eV per formula unit.

---

Compound: LiPmSb2
Source: Alexandria
Functional: PBE-GGA
Structure: optimized geometry

a = 4.890 Å, b = 4.890 Å, c = 4.298 Å
α = 90.00°, β = 90.00°, γ = 90.00°
Positions (direct):
Li (0.000, 0.000, 0.000)
Pm (0.500, 0.500, 0.000)
Sb (0.000, 0.500, 0.500)
Sb (0.500, 0.000, 0.500)

Properties
As for the energy above the most stable polymorph in this dataset: 0.158 eV/atom. Its space-group type is P4/mmm. As for the energy relative to the elements, uncorrected: -2.74 eV per formula unit.

---

Compound: Pm3Si3Pt2
Source: Alexandria
Functional: PBE-GGA
Structure: optimized geometry

a = 5.733 Å, b = 5.733 Å, c = 14.551 Å
α = 90.00°, β = 90.00°, γ = 135.53°
Positions (direct):
Pm (0.096, 0.904, 0.610)
Pm (0.096, 0.904, 0.890)
Pm (0.379, 0.621, 0.750)
Pm (0.621, 0.379, 0.250)
Pm (0.904, 0.096, 0.110)
Pm (0.904, 0.096, 0.390)
Si (0.323, 0.677, 0.250)
Si (0.388, 0.612, 0.535)
Si (0.388, 0.612, 0.965)
Si (0.612, 0.388, 0.035)
Si (0.612, 0.388, 0.465)
Si (0.677, 0.323, 0.750)
Pt (0.190, 0.810, 0.101)
Pt (0.190, 0.810, 0.399)
Pt (0.810, 0.190, 0.601)
Pt (0.810, 0.190, 0.899)

Properties
Its space-group type is Cmcm. As for the energy relative to the elements, uncorrected: -8.27 eV per formula unit.

---

Compound: Mg3Al2Cu4
Source: Alexandria
Functional: PBE-GGA
Structure: optimized geometry

a = 5.100 Å, b = 5.100 Å, c = 12.299 Å
α = 90.42°, β = 90.42°, γ = 59.76°
Positions (direct):
Mg (0.005, 0.005, 0.372)
Mg (0.333, 0.333, 0.041)
Mg (0.337, 0.337, 0.285)
Mg (0.663, 0.663, 0.715)
Mg (0.667, 0.667, 0.959)
Mg (0.995, 0.995, 0.628)
Al (0.000, 0.000, 0.000)
Al (0.324, 0.324, 0.671)
Al (0.500, 0.500, 0.500)
Al (0.676, 0.676, 0.329)
Cu (0.000, 0.500, 0.500)
Cu (0.165, 0.165, 0.836)
Cu (0.165, 0.665, 0.834)
Cu (0.335, 0.835, 0.166)
Cu (0.500, 0.000, 0.500)
Cu (0.665, 0.165, 0.834)
Cu (0.835, 0.335, 0.166)
Cu (0.835, 0.835, 0.164)

Properties
As for the energy above the most stable polymorph in this dataset: 0.000 eV/atom. Its space-group type is C2/m.

---

Values of volume, in order: 27.4; 15.2; 23.5; 25.7; 20.9; 15.4, all in Å³ per atom.
Values of spin magnetization, in order: 0.00; 2.02; 0.00; 0.00; 0.00; 0.00, all in μB/f.u..